[1]
RbHg2AsSe4 | PBE | optimized geometry

a = 6.9607 Å, b = 7.1568 Å, c = 7.1568 Å
α = 79.76°, β = 60.90°, γ = 60.90°
Positions (direct):
1 Rb 0.0000 0.0000 0.0000
2 Hg 0.5000 0.6783 0.3217
3 Hg 0.5000 0.3217 0.6783
4 As 0.0000 0.5000 0.5000
5 Se 0.6073 0.5114 0.8469
6 Se 0.3927 0.1531 0.4886
7 Se 0.9656 0.4886 0.1531
8 Se 0.0344 0.8469 0.5114

Size of the total moment (μB/f.u.): 0.0
SG: I222
Uncorrected energy (eV per cell): -22.9

[2]
RbHgAs2Se | PBE | optimized geometry

a = 7.3208 Å, b = 7.3208 Å, c = 6.5829 Å
α = 90.00°, β = 90.00°, γ = 90.00°
Each line ends with the local moment (μB).
Positions (direct):
1 As 0.0000 0.5000 0.0000  1.19
2 As 0.5000 0.0000 0.0000  1.19
3 Se 0.0000 0.0000 0.5000  -0.50
4 Hg 0.5000 0.5000 0.5000  0.02
5 Rb 0.0000 0.0000 0.0000  0.03

Size of the total moment (μB/f.u.): 4.7
E above lowest polymorph (kJ/mol of atoms): 79.09
SG: P4/mmm
Uncorrected energy (eV per cell): -8.2

[3]
RbHgAs2Se | PBE | optimized geometry

a = 5.3205 Å, b = 5.3205 Å, c = 5.6463 Å
α = 90.00°, β = 90.00°, γ = 90.00°
Each line ends with the local moment (μB).
Positions (direct):
1 As 0.0000 0.5000 0.0000  0.28
2 As 0.5000 0.0000 0.0000  0.28
3 Se 0.0000 0.0000 0.5000  0.09
4 Hg 0.0000 0.0000 0.0000  0.00
5 Rb 0.5000 0.5000 0.5000  0.01

Size of the total moment (μB/f.u.): 1.4
E above lowest polymorph (kJ/mol of atoms): 0.00
SG: P4/mmm
Uncorrected energy (eV per cell): -12.3

[4]
RbHgAsSe4 | PBE | optimized geometry

a = 6.6133 Å, b = 7.4551 Å, c = 9.6083 Å
α = 90.00°, β = 104.49°, γ = 90.00°
Positions (direct):
1 Rb 0.7659 0.7500 0.9414
2 Rb 0.2341 0.2500 0.0586
3 Hg 0.7974 0.7500 0.4732
4 Hg 0.2026 0.2500 0.5268
5 As 0.1960 0.7500 0.3058
6 As 0.8040 0.2500 0.6942
7 Se 0.0422 0.4923 0.7028
8 Se 0.9578 0.9923 0.2972
9 Se 0.9578 0.5077 0.2972
10 Se 0.0422 0.0077 0.7028
11 Se 0.3261 0.7500 0.1059
12 Se 0.6739 0.2500 0.8941
13 Se 0.4362 0.7500 0.5370
14 Se 0.5638 0.2500 0.4630

Size of the total moment (μB/f.u.): 0.0
SG: P2_1/m
Uncorrected energy (eV per cell): -44.0

[5]
RbHgAsSe2 | PBE | optimized geometry

a = 6.3066 Å, b = 6.3066 Å, c = 6.1222 Å
α = 90.00°, β = 90.00°, γ = 90.00°
Each line ends with the local moment (μB).
Positions (direct):
1 As 0.0000 0.0000 0.5000  0.07
2 Se 0.0000 0.5000 0.0000  0.76
3 Se 0.5000 0.0000 0.0000  0.76
4 Hg 0.5000 0.5000 0.5000  0.05
5 Rb 0.0000 0.0000 0.0000  0.01

Size of the total moment (μB/f.u.): 2.8
E above lowest polymorph (kJ/mol of atoms): 94.87
SG: P4/mmm
Uncorrected energy (eV per cell): -7.2

[6]
RbHgAsSe2 | PBE | optimized geometry

a = 5.5124 Å, b = 5.5124 Å, c = 5.2708 Å
α = 90.00°, β = 90.00°, γ = 90.00°
Each line ends with the local moment (μB).
Positions (direct):
1 As 0.0000 0.0000 0.5000  0.47
2 Se 0.0000 0.5000 0.0000  0.04
3 Se 0.5000 0.0000 0.0000  0.04
4 Hg 0.0000 0.0000 0.0000  0.00
5 Rb 0.5000 0.5000 0.5000  0.01

Size of the total moment (μB/f.u.): 1.1
E above lowest polymorph (kJ/mol of atoms): 0.00
SG: P4/mmm
Uncorrected energy (eV per cell): -12.1

[7]
Rb2HgAsSe4 | PBE | optimized geometry

a = 8.6036 Å, b = 8.6036 Å, c = 9.6373 Å
α = 120.17°, β = 120.17°, γ = 91.62°
Each line ends with the local moment (μB).
Positions (direct):
1 Rb 0.5000 0.0000 0.0000  0.01
2 Rb 0.5000 0.0000 0.5000  0.01
3 Rb 0.0000 0.0000 0.5000  0.00
4 Rb 0.5000 0.5000 0.0000  0.00
5 Hg 0.0000 0.5000 0.0000  0.02
6 Hg 0.0000 0.5000 0.5000  0.02
7 As 0.5000 0.5000 0.5000  -0.01
8 As 0.0000 0.0000 0.0000  -0.01
9 Se 0.1957 0.7490 0.0093  0.05
10 Se 0.7510 0.3043 0.4907  0.05
11 Se 0.2490 0.6957 0.5093  0.05
12 Se 0.8043 0.2510 0.9907  0.05
13 Se 0.7423 0.7110 0.9195  0.08
14 Se 0.7890 0.7577 0.5805  0.08
15 Se 0.2110 0.2423 0.4195  0.08
16 Se 0.2577 0.2890 0.0805  0.08

Size of the total moment (μB/f.u.): 0.4
SG: C2/c
Uncorrected energy (eV per cell): -47.9

[8]
Rb4SnHg2As2 | PBE | optimized geometry

a = 5.7320 Å, b = 9.0780 Å, c = 9.0780 Å
α = 60.54°, β = 71.50°, γ = 71.50°
Positions (direct):
1 Rb 0.1476 0.6226 0.0836
2 Rb 0.8524 0.9164 0.3774
3 Rb 0.8524 0.3774 0.9164
4 Rb 0.1476 0.0836 0.6226
5 Sn 0.5000 0.0000 0.0000
6 Hg 0.3871 0.6120 0.6120
7 Hg 0.6129 0.3880 0.3880
8 As 0.3235 0.1753 0.1753
9 As 0.6765 0.8247 0.8247

Size of the total moment (μB/f.u.): 0.0
SG: C2/m
Uncorrected energy (eV per cell): -19.5
Formation energy from the elements (meV/atom): -196